Record 1
Below is a PBEsol-optimized structure of Li5In, with properties calculated at the SCAN level.

abc: 4.1343 12.3091 4.3709
angles: 90.00 90.00 90.00
With the nearest neighbours (Å) after each atom.
Atoms (fractional coordinates):
Li  0.0000  0.0000  0.0000  8 Li 2.84-2.99, 4 In 3.01
Li  0.0000  0.1658  0.5000  2 In 2.91, 10 Li 2.93-3.08
Li  0.0000  0.3416  0.0000  10 Li 2.84-3.08, 2 In 2.93
Li  0.0000  0.6584  0.0000  10 Li 2.84-3.08, 2 In 2.93
Li  0.0000  0.8342  0.5000  2 In 2.91, 10 Li 2.93-3.08
Li  0.5000  0.1584  0.0000  10 Li 2.84-3.08, 2 In 2.93
Li  0.5000  0.3342  0.5000  2 In 2.91, 10 Li 2.93-3.08
Li  0.5000  0.5000  0.0000  8 Li 2.84-2.99, 4 In 3.01
Li  0.5000  0.6658  0.5000  2 In 2.91, 10 Li 2.93-3.08
Li  0.5000  0.8416  0.0000  10 Li 2.84-3.08, 2 In 2.93
In  0.0000  0.5000  0.5000  12 Li 2.91-3.01
In  0.5000  0.0000  0.5000  12 Li 2.91-3.01

E_form, eV/atom: -0.193
Energy relative to the lowest polymorph listed for this composition, eV/f.u.: 0.143
Calculated density, Mg/m³: 2.23
Space group: Cmmm

***

Record 2
Below is a PBEsol-optimized structure of LiIn2, with properties calculated at the SCAN level.

abc: 3.3293 15.2519 5.2356
angles: 90.00 90.00 90.00
With the nearest neighbours (Å) after each atom.
Atoms (fractional coordinates):
Li  0.0000  0.2182  0.2500  6 In 2.95-3.01, 4 Li 3.25
Li  0.0000  0.7818  0.7500  6 In 2.95-3.01, 4 Li 3.25
Li  0.5000  0.2818  0.7500  6 In 2.95-3.01, 4 Li 3.25
Li  0.5000  0.7182  0.2500  6 In 2.95-3.01, 4 Li 3.25
In  0.0000  0.1203  0.7500  4 Li 2.97-3.01, 8 In 3.19-3.33
In  0.0000  0.4418  0.7500  2 Li 2.95, 8 In 3.16-3.24
In  0.0000  0.5582  0.2500  2 Li 2.95, 8 In 3.16-3.24
In  0.0000  0.8797  0.2500  4 Li 2.97-3.01, 8 In 3.19-3.33
In  0.5000  0.0582  0.2500  2 Li 2.95, 8 In 3.16-3.24
In  0.5000  0.3797  0.2500  4 Li 2.97-3.01, 8 In 3.19-3.33
In  0.5000  0.6203  0.7500  4 Li 2.97-3.01, 8 In 3.19-3.33
In  0.5000  0.9418  0.7500  2 Li 2.95, 8 In 3.16-3.24

E_form, eV/atom: -0.167
Calculated density, Mg/m³: 5.91
Space group: Cmcm

***

Record 3
Below is a PBEsol-optimized structure of Li4In, with properties calculated at the SCAN level.

abc: 6.3506 6.3506 6.3506
angles: 90.00 90.00 90.00
With the nearest neighbours (Å) after each atom.
Atoms (fractional coordinates):
Li  0.2500  0.2500  0.2500  2 In 2.75
Li  0.2500  0.2500  0.7500  2 In 2.75
Li  0.2500  0.7500  0.2500  2 In 2.75
Li  0.2500  0.7500  0.7500  2 In 2.75
Li  0.7500  0.2500  0.2500  2 In 2.75
Li  0.7500  0.2500  0.7500  2 In 2.75
Li  0.7500  0.7500  0.2500  2 In 2.75
Li  0.7500  0.7500  0.7500  2 In 2.75
In  0.0000  0.0000  0.0000  8 Li 2.75
In  0.5000  0.5000  0.5000  8 Li 2.75

E_form, eV/atom: -0.021
Calculated density, Mg/m³: 1.85
Space group: Im-3m

***

Record 4
Below is a PBEsol-optimized structure of Li5In, with properties calculated at the SCAN level.

abc: 5.0988 5.0988 4.8658
angles: 90.00 90.00 120.00
With the nearest neighbours (Å) after each atom.
Atoms (fractional coordinates):
Li  0.0000  0.6823  0.0000  10 Li 2.81-3.02, 2 In 2.92
Li  0.3177  0.3177  0.0000  10 Li 2.81-3.02, 2 In 2.92
Li  0.3333  0.6667  0.5000  3 In 2.94, 9 Li 2.94-2.99
Li  0.6667  0.3333  0.5000  3 In 2.94, 9 Li 2.94-2.99
Li  0.6823  0.0000  0.0000  10 Li 2.81-3.02, 2 In 2.92
In  0.0000  0.0000  0.5000  12 Li 2.92-2.94

E_form, eV/atom: -0.216
Energy relative to the lowest polymorph listed for this composition, eV/f.u.: 0.000
Calculated density, Mg/m³: 2.27
Space group: P-62m

***

Record 5
Below is a PBEsol-optimized structure of LiIn5, with properties calculated at the SCAN level.

abc: 11.5890 3.3074 7.9995
angles: 90.00 110.25 90.00
With the nearest neighbours (Å) after each atom.
Atoms (fractional coordinates):
Li  0.0000  0.0000  0.0000  10 In 3.10-3.30, 2 Li 3.31
Li  0.5000  0.5000  0.0000  10 In 3.10-3.30, 2 Li 3.31
In  0.0333  0.0000  0.6066  9 In 3.15-3.31, 1 Li 3.30
In  0.1840  0.5000  0.3325  8 In 3.07-3.31, 2 Li 3.23
In  0.2108  0.5000  0.9477  3 Li 3.10-3.23, 9 In 3.17-3.31
In  0.3215  0.0000  0.6882  2 Li 3.11, 9 In 3.17-3.31
In  0.4051  0.0000  0.2557  9 In 3.07-3.31, 2 Li 3.11
In  0.5333  0.5000  0.6066  9 In 3.15-3.31, 1 Li 3.30
In  0.6840  0.0000  0.3325  8 In 3.07-3.31, 2 Li 3.23
In  0.7108  0.0000  0.9477  3 Li 3.10-3.23, 9 In 3.17-3.31
In  0.8215  0.5000  0.6882  2 Li 3.11, 9 In 3.17-3.31
In  0.9051  0.5000  0.2557  9 In 3.07-3.31, 2 Li 3.11

E_form, eV/atom: -0.065
Energy relative to the lowest polymorph listed for this composition, eV/f.u.: 0.034
Calculated density, Mg/m³: 6.71
Space group: Cm

***

Record 6
Below is a PBEsol-optimized structure of LiIn2, with properties calculated at the SCAN level.

abc: 3.7670 3.7670 9.2878
angles: 90.00 90.00 90.00
With the nearest neighbours (Å) after each atom.
Atoms (fractional coordinates):
Li  0.0000  0.0000  0.0000  10 In 3.07-3.11
Li  0.5000  0.5000  0.5000  10 In 3.07-3.11
In  0.0000  0.0000  0.3347  5 In 3.07-3.09, 5 Li 3.07-3.11
In  0.0000  0.0000  0.6653  5 In 3.07-3.09, 5 Li 3.07-3.11
In  0.5000  0.5000  0.1653  5 In 3.07-3.09, 5 Li 3.07-3.11
In  0.5000  0.5000  0.8347  5 In 3.07-3.09, 5 Li 3.07-3.11

E_form, eV/atom: -0.190
Calculated density, Mg/m³: 5.96
Space group: I4/mmm

***

Record 7
Below is a PBEsol-optimized structure of LiIn2, with properties calculated at the SCAN level.

abc: 4.9633 4.9633 3.1980
angles: 90.00 90.00 120.00
With the nearest neighbours (Å) after each atom.
Atoms (fractional coordinates):
Li  0.0000  0.0000  0.0000  2 Li 3.20, 12 In 3.28
In  0.3333  0.6667  0.5000  5 In 2.87-3.20
In  0.6667  0.3333  0.5000  5 In 2.87-3.20

E_form, eV/atom: -0.213
Calculated density, Mg/m³: 5.76
Space group: P6/mmm

***

Record 8
Below is a PBEsol-optimized structure of LiIn2, with properties calculated at the SCAN level.

abc: 11.6298 3.2914 7.4148
angles: 90.00 109.98 90.00
With the nearest neighbours (Å) after each atom.
Atoms (fractional coordinates):
Li  0.1937  0.0000  0.1474  8 In 2.98-3.26, 2 Li 3.29
Li  0.3063  0.5000  0.8526  8 In 2.98-3.26, 2 Li 3.29
Li  0.6937  0.5000  0.1474  8 In 2.98-3.26, 2 Li 3.29
Li  0.8063  0.0000  0.8526  8 In 2.98-3.26, 2 Li 3.29
In  0.0398  0.5000  0.8192  5 Li 2.98-3.26, 7 In 3.12-3.29
In  0.1408  0.0000  0.5249  3 Li 3.02-3.06, 9 In 3.15-3.29
In  0.3592  0.5000  0.4751  3 Li 3.02-3.06, 9 In 3.15-3.29
In  0.4602  0.0000  0.1808  5 Li 2.98-3.26, 7 In 3.12-3.29
In  0.5398  0.0000  0.8192  5 Li 2.98-3.26, 7 In 3.12-3.29
In  0.6408  0.5000  0.5249  3 Li 3.02-3.06, 9 In 3.15-3.29
In  0.8592  0.0000  0.4751  3 Li 3.02-3.06, 9 In 3.15-3.29
In  0.9602  0.5000  0.1808  5 Li 2.98-3.26, 7 In 3.12-3.29

E_form, eV/atom: -0.181
Calculated density, Mg/m³: 5.89
Space group: C2/m

***

Record 9
Below is a PBEsol-optimized structure of LiIn5, with properties calculated at the SCAN level.

abc: 3.3465 5.1312 8.3985
angles: 90.00 92.09 90.00
With the nearest neighbours (Å) after each atom.
Atoms (fractional coordinates):
Li  0.0000  0.0000  0.0000  10 In 3.07-3.27, 2 Li 3.35
In  0.0427  0.5000  0.4334  7 In 2.98-3.30
In  0.4839  0.0000  0.6693  7 In 3.05-3.35, 2 Li 3.22-3.27
In  0.5081  0.5000  0.0960  8 In 3.07-3.35, 4 Li 3.17
In  0.5285  0.0000  0.3072  9 In 3.05-3.35, 2 Li 3.07
In  0.9859  0.5000  0.7872  7 In 2.98-3.23, 2 Li 3.13

E_form, eV/atom: -0.070
Energy relative to the lowest polymorph listed for this composition, eV/f.u.: 0.000
Calculated density, Mg/m³: 6.69
Space group: Pm

***

Record 10
Below is a PBEsol-optimized structure of Li5In, with properties calculated at the SCAN level.

abc: 5.2117 5.2117 4.7997
angles: 90.00 90.00 120.00
With the nearest neighbours (Å) after each atom.
Atoms (fractional coordinates):
Li  0.0000  0.5000  0.0000  8 Li 2.61-2.83
Li  0.3333  0.6667  0.5000  9 Li 2.83-3.01, 3 In 3.01
Li  0.5000  0.0000  0.0000  8 Li 2.61-2.83
Li  0.5000  0.5000  0.0000  8 Li 2.61-2.83
Li  0.6667  0.3333  0.5000  9 Li 2.83-3.01, 3 In 3.01
In  0.0000  0.0000  0.5000  6 Li 3.01

E_form, eV/atom: -0.022
Energy relative to the lowest polymorph listed for this composition, eV/f.u.: 1.170
Calculated density, Mg/m³: 2.20
Space group: P6/mmm

***

Record 11
Below is a PBEsol-optimized structure of LiIn2, with properties calculated at the SCAN level.

abc: 11.4368 3.3073 7.1408
angles: 90.00 100.77 90.00
With the nearest neighbours (Å) after each atom.
Atoms (fractional coordinates):
Li  0.0000  0.0000  0.0000  8 In 2.87-3.16
Li  0.1851  0.5000  0.3630  8 In 2.95-3.21
Li  0.5000  0.5000  0.0000  8 In 2.87-3.16
Li  0.6851  0.0000  0.3630  8 In 2.95-3.21
In  0.1179  0.5000  0.7460  3 Li 2.96-2.98, 9 In 3.10-3.31
In  0.2809  0.0000  0.0853  5 Li 2.95-3.16, 5 In 3.12-3.22
In  0.3417  0.0000  0.6775  4 Li 3.08-3.12, 8 In 3.10-3.31
In  0.4684  0.5000  0.3897  4 Li 2.87-3.21, 4 In 3.19-3.21
In  0.6179  0.0000  0.7460  3 Li 2.96-2.98, 9 In 3.10-3.31
In  0.7809  0.5000  0.0853  5 Li 2.95-3.16, 5 In 3.12-3.22
In  0.8417  0.5000  0.6775  4 Li 3.08-3.12, 8 In 3.10-3.31
In  0.9684  0.0000  0.3897  4 Li 2.87-3.21, 4 In 3.19-3.21

E_form, eV/atom: -0.184
Calculated density, Mg/m³: 5.92
Space group: Cm

***

Record 12
Below is a PBEsol-optimized structure of LiLu2In, with properties calculated at the SCAN level.

abc: 7.1938 7.1938 7.1938
angles: 90.00 90.00 90.00
With the nearest neighbours (Å) after each atom.
Atoms (fractional coordinates):
Li  0.0000  0.0000  0.0000  8 Lu 3.12
Li  0.0000  0.5000  0.5000  8 Lu 3.12
Li  0.5000  0.0000  0.5000  8 Lu 3.12
Li  0.5000  0.5000  0.0000  8 Lu 3.12
Lu  0.2500  0.2500  0.2500  4 In 3.12, 4 Li 3.12
Lu  0.2500  0.2500  0.7500  4 Li 3.12, 4 In 3.12
Lu  0.2500  0.7500  0.2500  4 Li 3.12, 4 In 3.12
Lu  0.2500  0.7500  0.7500  4 In 3.12, 4 Li 3.12
Lu  0.7500  0.2500  0.2500  4 Li 3.12, 4 In 3.12
Lu  0.7500  0.2500  0.7500  4 In 3.12, 4 Li 3.12
Lu  0.7500  0.7500  0.2500  4 In 3.12, 4 Li 3.12
Lu  0.7500  0.7500  0.7500  4 Li 3.12, 4 In 3.12
In  0.0000  0.0000  0.5000  8 Lu 3.12
In  0.0000  0.5000  0.0000  8 Lu 3.12
In  0.5000  0.0000  0.0000  8 Lu 3.12
In  0.5000  0.5000  0.5000  8 Lu 3.12

E_form, eV/atom: -0.311
Calculated density, Mg/m³: 8.42
Space group: Fm-3m